No. 1
This record from the Alexandria database describes LaCdFe3 after structural relaxation. The functional is PBEsol.

a b c (Å): 4.7771 4.7771 4.7771
angles (deg): 90.00 90.00 90.00
Space group Pm-3m (No. 221)
Unique sites:
La 0.0000 0.0000 0.0000 x1
Cd 0.5000 0.5000 0.5000 x1
Fe 0.0000 0.5000 0.5000 x3

## Properties
- DFT total energy: -27.48 eV/f.u.
- Formation enthalpy at 0 K: 1.19 eV per atom
- Mass density: 6.38 g cm⁻³
- Relative energy among the computed polymorphs: 0 meV/atom
- Magnetic moment: 1.54 μB/atom

***

No. 2
This record from the Alexandria database describes BaCr3O after structural relaxation. The functional is PBEsol.

a b c (Å): 4.2241 4.2241 4.2241
angles (deg): 90.00 90.00 90.00
Space group Pm-3m (No. 221)
Unique sites:
Ba 0.0000 0.0000 0.0000 x1
Cr 0.0000 0.5000 0.5000 x3
O 0.5000 0.5000 0.5000 x1

## Properties
- DFT total energy: -35.06 eV/f.u.
- Mass density: 6.81 g cm⁻³
- Formation energy without anion corrections: 0.612 eV per atom
- Magnetic moment: 1.49 μB/atom

***

No. 3
This record from the Alexandria database describes LuSbPd2 after structural relaxation. The functional is PBEsol.

a b c (Å): 6.6295 6.6295 6.6295
angles (deg): 90.00 90.00 90.00
Space group Fm-3m (No. 225)
Unique sites:
Lu 0.0000 0.0000 0.0000 x4
Sb 0.0000 0.0000 0.5000 x4
Pd 0.2500 0.2500 0.2500 x8

## Properties
- DFT total energy: -24.90 eV/f.u.
- Mass density: 11.62 g cm⁻³
- Formation energy without anion corrections: -0.888 eV per atom
- Magnetic moment: 0.00 μB/atom

***

No. 4
This record from the Alexandria database describes SbMo2Ir after structural relaxation. The functional is PBEsol.

a b c (Å): 6.3556 6.3556 6.3556
angles (deg): 90.00 90.00 90.00
Space group F-43m (No. 216)
Unique sites:
Sb 0.0000 0.0000 0.0000 x4
Mo 0.0000 0.0000 0.5000 x4
Mo 0.2500 0.2500 0.7500 x4
Ir 0.2500 0.2500 0.2500 x4

## Properties
- DFT total energy: -36.65 eV/f.u.
- Mass density: 13.09 g cm⁻³
- Formation energy without anion corrections: 0.317 eV per atom
- Magnetic moment: 0.00 μB/atom

***

No. 5
This record from the Alexandria database describes ReRuRh2 after structural relaxation. The functional is PBEsol.

a b c (Å): 5.3173 7.6987 2.6669
angles (deg): 90.00 90.00 90.00
Space group Cmmm (No. 65)
Unique sites:
Re 0.0000 0.0000 0.0000 x2
Ru 0.0000 0.5000 0.0000 x2
Rh 0.2500 0.2500 0.5000 x4

## Properties
- DFT total energy: -39.85 eV/f.u.
- Formation enthalpy at 0 K: -0.02 eV per atom
- Mass density: 15.00 g cm⁻³
- Relative energy among the computed polymorphs: 84 meV/atom
- Magnetic moment: 0.00 μB/atom

***

No. 6
This record from the Alexandria database describes ErSb after structural relaxation. The functional is PBEsol.

a b c (Å): 6.0562 6.0562 6.0562
angles (deg): 90.00 90.00 90.00
Space group Fm-3m (No. 225)
Unique sites:
Er 0.0000 0.0000 0.0000 x4
Sb 0.0000 0.0000 0.5000 x4

## Properties
- DFT total energy: -11.72 eV/f.u.
- Mass density: 8.64 g cm⁻³
- Formation energy without anion corrections: -1.118 eV per atom
- Magnetic moment: 0.00 μB/atom

***

No. 7
This record from the Alexandria database describes Cs3OsI after structural relaxation. The functional is PBEsol.

a b c (Å): 5.8671 5.8671 5.8671
angles (deg): 90.00 90.00 90.00
Space group Pm-3m (No. 221)
Unique sites:
Cs 0.0000 0.0000 0.5000 x3
Os 0.0000 0.0000 0.0000 x1
I 0.5000 0.5000 0.5000 x1

## Properties
- DFT total energy: -14.70 eV/f.u.
- Mass density: 5.89 g cm⁻³
- Formation energy without anion corrections: 0.421 eV per atom
- Magnetic moment: 0.00 μB/atom

***

No. 8
This record from the Alexandria database describes BaMn2As2 after structural relaxation. The functional is PBEsol.

a b c (Å): 3.8428 3.8428 13.2692
angles (deg): 90.00 90.00 90.00
Space group I4/mmm (No. 139)
Unique sites:
Ba 0.0000 0.0000 0.0000 x2
Mn 0.0000 0.5000 0.2500 x4
As 0.0000 0.0000 0.3550 x4

## Properties
- DFT total energy: -34.58 eV/f.u.
- Formation enthalpy at 0 K: -0.54 eV per atom
- Mass density: 6.73 g cm⁻³
- Magnetic moment: 0.70 μB/atom

***

No. 9
This record from the Alexandria database describes TiCu3As after structural relaxation. The functional is PBEsol.

a b c (Å): 4.3721 4.3721 4.3721
angles (deg): 90.00 90.00 90.00
Space group Pm-3m (No. 221)
Unique sites:
Ti 0.0000 0.0000 0.0000 x1
Cu 0.0000 0.5000 0.5000 x3
As 0.5000 0.5000 0.5000 x1

## Properties
- DFT total energy: -23.24 eV/f.u.
- Formation enthalpy at 0 K: 0.64 eV per atom
- Mass density: 6.23 g cm⁻³
- Magnetic moment: 0.34 μB/atom

***

No. 10
This record from the Alexandria database describes LiAs2Cl after structural relaxation. The functional is PBEsol.

a b c (Å): 6.6479 6.6479 6.6479
angles (deg): 90.00 90.00 90.00
Space group F-43m (No. 216)
Unique sites:
Li 0.0000 0.0000 0.0000 x4
As 0.0000 0.0000 0.5000 x4
As 0.2500 0.2500 0.2500 x4
Cl 0.2500 0.2500 0.7500 x4

## Properties
- DFT total energy: -14.84 eV/f.u.
- Mass density: 4.35 g cm⁻³
- Formation energy without anion corrections: -0.163 eV per atom
- Relative energy among the computed polymorphs: 627 meV/atom
- Magnetic moment: 0.00 μB/atom

***

No. 11
This record from the Alexandria database describes Cd2FeOs after structural relaxation. The functional is PBEsol.

a b c (Å): 3.8676 3.8676 8.4735
angles (deg): 90.00 90.00 90.00
Space group I4/mmm (No. 139)
Unique sites:
Cd 0.0000 0.5000 0.2500 x4
Fe 0.0000 0.0000 0.0000 x2
Os 0.0000 0.0000 0.5000 x2

## Properties
- DFT total energy: -21.24 eV/f.u.
- Formation enthalpy at 0 K: 0.58 eV per atom
- Mass density: 12.34 g cm⁻³
- Relative energy among the computed polymorphs: 39 meV/atom
- Magnetic moment: 0.96 μB/atom

***

No. 12
This record from the Alexandria database describes CaTeCl2 after structural relaxation. The functional is PBEsol.

a b c (Å): 3.6852 3.6852 7.1259
angles (deg): 90.00 90.00 90.00
Space group P4mm (No. 99)
Unique sites:
Ca 0.0000 0.0000 0.0000 x1
Te 0.5000 0.5000 0.6488 x1
Cl 0.0000 0.0000 0.3954 x1
Cl 0.5000 0.5000 0.1174 x1

## Properties
- DFT total energy: -14.22 eV/f.u.
- Mass density: 4.09 g cm⁻³
- Formation energy without anion corrections: -1.137 eV per atom
- Relative energy among the computed polymorphs: 14 meV/atom
- Magnetic moment: 0.00 μB/atom

***

No. 13
This record from the Alexandria database describes CdReSCl2 after structural relaxation. The functional is PBEsol.

a b c (Å): 4.8688 4.8688 5.2287
angles (deg): 90.00 90.00 90.00
Space group P4/mmm (No. 123)
Unique sites:
Cd 0.0000 0.0000 0.0000 x1
Re 0.5000 0.5000 0.5000 x1
S 0.0000 0.0000 0.5000 x1
Cl 0.0000 0.5000 0.0000 x2

## Properties
- DFT total energy: -17.89 eV/f.u.
- Mass density: 5.38 g cm⁻³
- Formation energy without anion corrections: 1.008 eV per atom
- Magnetic moment: 1.01 μB/atom

***

No. 14
This record from the Alexandria database describes Mg4TaAl after structural relaxation. The functional is PBEsol.

a b c (Å): 7.7897 7.7897 7.7897
angles (deg): 90.00 90.00 90.00
Space group F-43m (No. 216)
Unique sites:
Mg 0.1242 0.1242 0.3758 x16
Ta 0.2500 0.2500 0.7500 x4
Al 0.0000 0.0000 0.0000 x4

## Properties
- DFT total energy: -20.20 eV/f.u.
- Formation enthalpy at 0 K: 0.55 eV per atom
- Mass density: 4.29 g cm⁻³
- Magnetic moment: 0.42 μB/atom

***

No. 15
This record from the Alexandria database describes Ba2CoIr after structural relaxation. The functional is PBEsol.

a b c (Å): 7.4609 7.4609 7.4609
angles (deg): 90.00 90.00 90.00
Space group Fm-3m (No. 225)
Unique sites:
Ba 0.2500 0.2500 0.2500 x8
Co 0.0000 0.0000 0.0000 x4
Ir 0.0000 0.0000 0.5000 x4

## Properties
- DFT total energy: -19.37 eV/f.u.
- Formation enthalpy at 0 K: 0.62 eV per atom
- Mass density: 8.41 g cm⁻³
- Relative energy among the computed polymorphs: 614 meV/atom
- Magnetic moment: 0.48 μB/atom

***

No. 16
This record from the Alexandria database describes BeTe2Cl after structural relaxation. The functional is PBEsol.

a b c (Å): 5.1384 5.1384 3.1996
angles (deg): 90.00 90.00 90.00
Space group P4/mmm (No. 123)
Unique sites:
Be 0.0000 0.0000 0.0000 x1
Te 0.0000 0.5000 0.5000 x2
Cl 0.5000 0.5000 0.0000 x1

## Properties
- DFT total energy: -10.99 eV/f.u.
- Mass density: 5.89 g cm⁻³
- Formation energy without anion corrections: 0.517 eV per atom
- Relative energy among the computed polymorphs: 789 meV/atom
- Magnetic moment: 0.00 μB/atom

***

No. 17
This record from the Alexandria database describes Al3Cr after structural relaxation. The functional is PBEsol.

a b c (Å): 2.6811 4.4182 4.7068
angles (deg): 90.00 90.00 90.00
Space group Pmm2 (No. 25)
Unique sites:
Al 0.0000 0.0000 0.0000 x1
Al 0.0000 0.5000 0.3281 x1
Al 0.5000 0.0000 0.5139 x1
Cr 0.5000 0.5000 0.8222 x1

## Properties
- DFT total energy: -22.67 eV/f.u.
- Formation enthalpy at 0 K: -0.04 eV per atom
- Mass density: 3.96 g cm⁻³
- Magnetic moment: 0.00 μB/atom

***

No. 18
This record from the Alexandria database describes Li3CoCu4O8 after structural relaxation. The functional is PBEsol.

a b c (Å): 10.4921 5.6058 5.4690
angles (deg): 90.00 117.90 90.00
Space group C2/m (No. 12)
Unique sites:
Li 0.0000 0.0000 0.0000 x2
Li 0.2500 0.2500 0.5000 x4
Co 0.0000 0.5000 0.5000 x2
Cu 0.0000 0.0000 0.5000 x2
Cu 0.0000 0.5000 0.0000 x2
Cu 0.2500 0.2500 0.0000 x4
O 0.0302 0.2699 0.2762 x8
O 0.1992 0.5000 0.7332 x4
O 0.2034 0.0000 0.7412 x4

## Properties
- DFT total energy: -90.13 eV/f.u.
- Mass density: 5.40 g cm⁻³
- Formation energy without anion corrections: -1.073 eV per atom
- Magnetic moment: 0.04 μB/atom

***

No. 19
This record from the Alexandria database describes Zr2Ru after structural relaxation. The functional is PBEsol.

a b c (Å): 12.2620 12.2620 12.2620
angles (deg): 90.00 90.00 90.00
Space group Fd-3m (No. 227, origin choice 2)
Unique sites:
Zr 0.0000 0.0000 0.0000 x16
Zr 0.0621 0.3750 0.8750 x48
Ru 0.0309 0.0309 0.2191 x32

## Properties
- DFT total energy: -29.31 eV/f.u.
- Formation enthalpy at 0 K: -0.32 eV per atom
- Mass density: 8.17 g cm⁻³
- Magnetic moment: 0.00 μB/atom

***

No. 20
This record from the Alexandria database describes Be4SiSe after structural relaxation. The functional is PBEsol.

a b c (Å): 6.4503 6.4503 6.4503
angles (deg): 90.00 90.00 90.00
Space group F-43m (No. 216)
Unique sites:
Be 0.1232 0.1232 0.3768 x16
Si 0.2500 0.2500 0.7500 x4
Se 0.0000 0.0000 0.0000 x4

## Properties
- DFT total energy: -22.93 eV/f.u.
- Mass density: 3.54 g cm⁻³
- Formation energy without anion corrections: 0.445 eV per atom
- Magnetic moment: 0.00 μB/atom